Compound: Ba2TlSe
Source: the Alexandria database
Functional: PBE
Structure: optimized geometry

The structure in POSCAR format:
```
Ba2TlSe
1.0
-5.346 -4.649 2.029
-0.925 -6.775 -2.749
5.168 4.443 2.805
Ba Tl Se
2 1 1
Direct
0.250 0.750 0.500
0.000 0.000 0.000
0.750 0.250 0.500
0.500 0.500 0.000
```

Values from the calculation:
M_tot	0.001	μB/f.u.
DOS at the Fermi energy	1.077	states/eV/atom
E	-12.899	eV for the cell shown
raw formation energy	-0.8006	eV/atom